No. 1
This record from Alexandria describes a geometry-optimized K3Ba2PaSe6 structure. The functional is GGA-PBE.

Structure (POSCAR):
```
K3Ba2PaSe6
1.0
3.9878 -6.9013 0.0000
3.9878 6.9013 0.0000
-2.7049 0.0000 7.6238
K Ba Pa Se
3 2 1 6
direct
0.0000 0.0000 0.0000
0.3319 0.6681 0.0000
0.6681 0.3319 0.0000
0.1666 0.8334 0.5000
0.8334 0.1666 0.5000
0.5000 0.5000 0.5000
0.1376 0.4282 0.2851
0.2823 0.2823 0.7109
0.4282 0.1376 0.2851
0.5718 0.8624 0.7149
0.7177 0.7177 0.2891
0.8624 0.5718 0.7149
```

Properties
Magnetic moment, Bohr magnetons per cell: 0.0
E_form (uncorrected), meV/atom: -1634
Space group: C2/m (12)

No. 2
This record from Alexandria describes a geometry-optimized KBa2PaSe5 structure. The functional is GGA-PBE.

Structure (POSCAR):
```
KBa2PaSe5
1.0
-2.7156 3.9749 7.7833
2.7156 -3.9749 7.7833
2.7156 3.9749 -7.7833
K Ba Pa Se
1 2 1 5
direct
0.0000 0.0000 0.0000
0.2896 0.7896 0.5000
0.7104 0.2104 0.5000
0.5000 0.5000 0.0000
0.1324 0.3687 0.7637
0.3951 0.6313 0.7637
0.5000 0.0000 0.5000
0.6049 0.3687 0.2363
0.8676 0.6313 0.2363
```

Properties
Magnetic moment, Bohr magnetons per cell: 0.0
E_form (uncorrected), meV/atom: -1664
Space group: Immm (71)

No. 3
This record from Alexandria describes a geometry-optimized KBaPaSe4 structure. The functional is GGA-PBE.

Structure (POSCAR):
```
KBaPaSe4
1.0
5.5101 0.0000 0.0000
0.0000 5.5101 0.0000
0.0000 0.0000 16.4914
K Ba Pa Se
2 2 2 8
direct
0.0000 0.0000 0.0000
0.5000 0.5000 0.5000
0.0000 0.0000 0.7189
0.5000 0.5000 0.2189
0.0000 0.0000 0.3604
0.5000 0.5000 0.8604
0.0000 0.0000 0.1949
0.0000 0.0000 0.5233
0.0000 0.5000 0.3535
0.0000 0.5000 0.8535
0.5000 0.0000 0.3535
0.5000 0.0000 0.8535
0.5000 0.5000 0.0233
0.5000 0.5000 0.6949
```

Properties
Magnetic moment, Bohr magnetons per cell: 0.0
E_form (uncorrected), meV/atom: -1558
Space group: I4mm (107)